1.
Entry from the Alexandria database: a relaxed structure of Sm12Cd3C5 (GGA-PBE).

Results
Space-group type   Ia-3d, No. 230

Cell lengths 14.108, 14.108, 14.108 Å; angles 109.47, 109.47, 109.47 degrees
Positions (direct):
Sm  0.016  0.200  0.112
Sm  0.016  0.317  0.905
Sm  0.088  0.700  0.683
Sm  0.088  0.888  0.405
Sm  0.095  0.612  0.412
Sm  0.095  0.984  0.683
Sm  0.112  0.016  0.200
Sm  0.112  0.595  0.912
Sm  0.183  0.200  0.588
Sm  0.183  0.484  0.595
Sm  0.200  0.112  0.016
Sm  0.200  0.588  0.183
Sm  0.300  0.317  0.912
Sm  0.300  0.484  0.388
Sm  0.317  0.905  0.016
Sm  0.317  0.912  0.300
Sm  0.388  0.300  0.484
Sm  0.388  0.588  0.905
Sm  0.405  0.088  0.888
Sm  0.405  0.817  0.516
Sm  0.412  0.095  0.612
Sm  0.412  0.817  0.800
Sm  0.484  0.388  0.300
Sm  0.484  0.595  0.183
Sm  0.516  0.405  0.817
Sm  0.516  0.612  0.700
Sm  0.588  0.183  0.200
Sm  0.588  0.905  0.388
Sm  0.595  0.183  0.484
Sm  0.595  0.912  0.112
Sm  0.612  0.412  0.095
Sm  0.612  0.700  0.516
Sm  0.683  0.088  0.700
Sm  0.683  0.095  0.984
Sm  0.700  0.516  0.612
Sm  0.700  0.683  0.088
Sm  0.800  0.412  0.817
Sm  0.800  0.888  0.984
Sm  0.817  0.516  0.405
Sm  0.817  0.800  0.412
Sm  0.888  0.405  0.088
Sm  0.888  0.984  0.800
Sm  0.905  0.016  0.317
Sm  0.905  0.388  0.588
Sm  0.912  0.112  0.595
Sm  0.912  0.300  0.317
Sm  0.984  0.683  0.095
Sm  0.984  0.800  0.888
Cd  0.125  0.250  0.375
Cd  0.125  0.375  0.750
Cd  0.250  0.375  0.125
Cd  0.250  0.875  0.625
Cd  0.375  0.125  0.250
Cd  0.375  0.750  0.125
Cd  0.625  0.250  0.875
Cd  0.625  0.875  0.750
Cd  0.750  0.125  0.375
Cd  0.750  0.625  0.875
Cd  0.875  0.625  0.250
Cd  0.875  0.750  0.625
C  0.000  0.000  0.000
C  0.000  0.000  0.500
C  0.000  0.500  0.000
C  0.000  0.500  0.500
C  0.125  0.750  0.875
C  0.125  0.875  0.250
C  0.250  0.125  0.875
C  0.250  0.625  0.375
C  0.375  0.250  0.625
C  0.375  0.625  0.750
C  0.500  0.000  0.000
C  0.500  0.000  0.500
C  0.500  0.500  0.000
C  0.500  0.500  0.500
C  0.625  0.375  0.250
C  0.625  0.750  0.375
C  0.750  0.375  0.625
C  0.750  0.875  0.125
C  0.875  0.125  0.750
C  0.875  0.250  0.125

---

2.
Entry from the Alexandria database: a relaxed structure of Ba2ScFeP (GGA-PBE).

Results
Space-group type   P4/mmm, No. 123

Cell lengths 5.520, 5.520, 4.764 Å; angles 90.00, 90.00, 90.00 degrees
Positions (direct):
Ba  0.000  0.500  0.000
Ba  0.500  0.000  0.000
Sc  0.000  0.000  0.500
Fe  0.000  0.000  0.000
P  0.500  0.500  0.500

---

3.
Entry from the Alexandria database: a relaxed structure of MgInH2 (GGA-PBE).

Results
Space-group type   Fm-3m, No. 225

Cell lengths 4.266, 4.266, 4.266 Å; angles 60.00, 60.00, 60.00 degrees
Positions (direct):
Mg  0.000  0.000  0.000
In  0.500  0.500  0.500
H  0.250  0.250  0.250
H  0.750  0.750  0.750

---

4.
Entry from the Alexandria database: a relaxed structure of Tl2HgO (GGA-PBE).

Results
Space-group type   Pnma, No. 62
Raw formation energy   -1.66 eV per formula unit

Cell lengths 9.309, 3.495, 14.245 Å; angles 90.00, 90.00, 90.00 degrees
Positions (direct):
Tl  0.120  0.250  0.204
Tl  0.161  0.750  0.955
Tl  0.339  0.250  0.455
Tl  0.380  0.750  0.704
Tl  0.620  0.250  0.296
Tl  0.661  0.750  0.545
Tl  0.839  0.250  0.045
Tl  0.880  0.750  0.796
Hg  0.065  0.750  0.591
Hg  0.435  0.250  0.091
Hg  0.565  0.750  0.909
Hg  0.935  0.250  0.409
O  0.023  0.750  0.103
O  0.477  0.250  0.603
O  0.523  0.750  0.397
O  0.977  0.250  0.897

---

Computed values of total DFT energy (no corrections) (unit: eV per atom) for the preceding records, in sequence: -5.270 -4.575 -2.295 -2.914.